Record 1
Density functional theory data (PBE) for an optimized crystal structure of KIn2Co.

Output
ρ = 4.77 Mg/m³
distance to the lowest polymorph of the same formula = 30 meV/atom
uncorrected energy = -3.24 eV/atom
total moment = 0.000 μB per formula unit
ΔE_f = 0.176 eV per atom
symmetry = No. 160

```
KIn2Co
1.0
2.196 1.268 6.825
-2.196 1.268 6.825
0.000 -2.536 6.825
K In Co
1 2 1
direct
0.000 0.000 0.000 K
0.543 0.543 0.543 In
0.798 0.798 0.798 In
0.173 0.173 0.173 Co
```

=====

Record 2
Density functional theory data (PBE) for an optimized crystal structure of KIn2Co.

Output
ρ = 4.83 Mg/m³
distance to the lowest polymorph of the same formula = 16 meV/atom
uncorrected energy = -3.26 eV/atom
total moment = 0.000 μB per formula unit
ΔE_f = 0.162 eV per atom
symmetry = No. 166

```
KIn2Co
1.0
2.225 1.285 6.571
-2.225 1.285 6.571
0.000 -2.569 6.571
K In Co
1 2 1
direct
0.000 0.000 0.000 K
0.204 0.204 0.204 In
0.796 0.796 0.796 In
0.500 0.500 0.500 Co
```